The following is a DFT calculation (PBE-GGA) of a geometry-optimized WBr structure. Values from VASP.

Formation energy from raw total energies: 1.153 eV per atom
Space-group type: R-3m, No. 166

```
&SYSTEM
  ibrav = 0, nat = 4, ntyp = 2
/
ATOMIC_SPECIES
Br 79.90 Br.upf
W 183.84 W.upf
CELL_PARAMETERS angstrom
-2.3567 -3.5509 -6.0350
1.7104 -4.8366 -5.3166
-1.5368 -6.5579 -3.0357
ATOMIC_POSITIONS crystal
Br 0.0852 0.0852 0.0852
W 0.3334 0.3334 0.3334
Br 0.9148 0.9148 0.9148
W 0.6666 0.6666 0.6666
```

---

The following is a DFT calculation (PBE-GGA) of a geometry-optimized Rb2TaBiS4 structure. Values from VASP.

Formation energy from raw total energies: -0.872 eV per atom
Space-group type: I-4, No. 82

```
&SYSTEM
  ibrav = 0, nat = 8, ntyp = 4
/
ATOMIC_SPECIES
S 32.06 S.upf
Ta 180.95 Ta.upf
Rb 85.47 Rb.upf
Bi 208.98 Bi.upf
CELL_PARAMETERS angstrom
-5.3681 2.8894 3.4750
-2.3099 -5.4772 -3.7291
4.8558 -2.1603 4.5821
ATOMIC_POSITIONS crystal
S 0.0456 0.1991 0.5280
Ta 0.0000 0.5000 0.5000
Rb 0.0000 0.0000 0.0000
Bi 0.5000 0.2500 0.7500
S 0.3289 0.8465 0.8009
S 0.6711 0.4720 0.5176
Rb 0.5000 0.7500 0.2500
S 0.9544 0.4824 0.1535
```

---

The following is a DFT calculation (PBE-GGA) of a geometry-optimized KCd2P structure. Values from VASP.

Space-group type: P4mm, No. 99

```
&SYSTEM
  ibrav = 0, nat = 4, ntyp = 3
/
ATOMIC_SPECIES
Cd 112.41 Cd.upf
P 30.97 P.upf
K 39.10 K.upf
CELL_PARAMETERS angstrom
-2.5352 -1.3719 -2.3569
1.1549 -3.4553 0.7690
-5.2559 -0.4413 5.9104
ATOMIC_POSITIONS crystal
Cd 0.5000 0.5000 0.1942
Cd 0.0000 0.0000 0.9376
P 0.5000 0.5000 0.8421
K 0.0000 0.0000 0.5261
```

---

no.,total energy (eV for the cell shown)
1,-24.64
2,-41.16
3,-8.21